# 1
Below is a relaxed AgAs4Pt crystal, with properties calculated at the PBEsol level.

Cell: 5.393 5.393 5.393 Å, 60.00 60.00 60.00°
Atoms (fractional coordinates):
As  0.882  0.373  0.373
Ag  0.000  0.000  0.000
As  0.373  0.373  0.882
As  0.373  0.882  0.373
Pt  0.750  0.750  0.750
As  0.373  0.373  0.373

## Properties
Energy of formation from the pure elements   0.6063 eV/atom
Space group   F-43m (216)

# 2
Below is a relaxed ZrAg crystal, with properties calculated at the PBEsol level.

Cell: 3.941 3.941 3.941 Å, 60.00 60.00 60.00°
Atoms (fractional coordinates):
Ag  0.000  0.000  0.000
Zr  0.500  0.500  0.500

## Properties
Energy of formation from the pure elements   0.4727 eV/atom
Space group   Fm-3m (225)

# 3
Below is a relaxed Rb2Ga2F crystal, with properties calculated at the PBEsol level.

Cell: 6.062 6.062 6.062 Å, 109.31 109.31 109.79°
Atoms (fractional coordinates):
Rb  0.250  0.750  0.500
Rb  0.750  0.250  0.500
Ga  0.683  0.683  0.000
Ga  0.317  0.317  0.000
F  0.000  0.000  0.000

## Properties
ΔE_f (raw)   -0.45 eV/atom
Space group   I4/mmm (139)

# 4
Below is a relaxed Cd2PbAu crystal, with properties calculated at the PBEsol level.

Cell: 3.059 5.495 6.181 Å, 116.39 104.32 90.00°
Atoms (fractional coordinates):
Pb  0.500  0.000  0.000
Cd  0.275  0.275  0.551
Au  0.000  0.500  0.000
Cd  0.725  0.725  0.449

## Properties
Energy of formation from the pure elements   -0.0074 eV/atom
Space group   Immm (71)